Entry 1:
VASP calculation (PBE-GGA) on a relaxed structure of KYZr2.

a = 6.387 Å, b = 6.387 Å, c = 3.164 Å
α = 90.00°, β = 90.00°, γ = 117.51°
Fractional positions:
Y1 0.000 0.500 0.500
Zr1 0.000 0.000 0.000
K1 0.500 0.000 0.500
Zr2 0.500 0.500 0.000

Computed properties:
E_form = 765 meV/atom
energy above the lowest structure with this stoichiometry = 1.74 eV per formula unit
symmetry = Cmmm, No. 65

Entry 2:
VASP calculation (PBE-GGA) on a relaxed structure of KYZr2.

a = 5.936 Å, b = 5.936 Å, c = 3.320 Å
α = 90.00°, β = 90.00°, γ = 90.00°
Each line ends with the local moment (μB).
Fractional positions:
Zr1 0.500 0.500 0.000  0.15
K1 0.500 0.000 0.500  0.02
Y1 0.000 0.500 0.500  0.02
Zr2 0.000 0.000 0.000  0.15

Computed properties:
E_form = 923 meV/atom
energy above the lowest structure with this stoichiometry = 2.37 eV per formula unit
symmetry = P4/mmm, No. 123

Entry 3:
VASP calculation (PBE-GGA) on a relaxed structure of KY2Zr.

a = 6.359 Å, b = 6.359 Å, c = 6.359 Å
α = 134.46°, β = 134.46°, γ = 66.37°
Each line ends with the local moment (μB).
Fractional positions:
Y1 0.250 0.750 0.500  0.06
Zr1 0.500 0.500 0.000  0.36
Y2 0.000 0.000 0.000  0.08
K1 0.750 0.250 0.500  0.01

Computed properties:
E_form = 715 meV/atom
energy above the lowest structure with this stoichiometry = 1.92 eV per formula unit
symmetry = I-4m2, No. 119

Entry 4:
VASP calculation (PBE-GGA) on a relaxed structure of KY2Zr.

a = 3.524 Å, b = 6.186 Å, c = 5.902 Å
α = 90.00°, β = 90.00°, γ = 90.00°
Each line ends with the local moment (μB).
Fractional positions:
Y1 0.000 0.000 0.000  0.01
Y2 0.500 0.500 0.000  0.00
Zr1 0.500 0.000 0.500  0.05
K1 0.000 0.500 0.500  0.00

Computed properties:
E_form = 720 meV/atom
energy above the lowest structure with this stoichiometry = 1.94 eV per formula unit
symmetry = Pmmm, No. 47

Entry 5:
VASP calculation (PBE-GGA) on a relaxed structure of KY4Zr.

a = 6.637 Å, b = 6.637 Å, c = 6.637 Å
α = 60.00°, β = 60.00°, γ = 60.00°
Each line ends with the local moment (μB).
Fractional positions:
Y1 0.379 0.864 0.379  -0.01
Y2 0.864 0.379 0.379  -0.01
Zr1 0.750 0.750 0.750  0.41
K1 0.000 0.000 0.000  0.00
Y3 0.379 0.379 0.864  -0.01
Y4 0.379 0.379 0.379  -0.01

Computed properties:
E_form = 659 meV/atom
symmetry = F-43m, No. 216

Entry 6:
VASP calculation (PBE-GGA) on a relaxed structure of KY2Zr.

a = 6.979 Å, b = 6.979 Å, c = 10.123 Å
α = 69.84°, β = 69.84°, γ = 90.00°
Fractional positions:
Y1 0.875 0.123 0.750
Zr1 0.000 0.000 0.000
Y2 0.375 0.127 0.750
K1 0.250 0.750 0.500
K2 0.500 0.500 0.000
Y3 0.877 0.625 0.250
Zr2 0.750 0.250 0.500
Y4 0.873 0.125 0.250

Computed properties:
E_form = 1405 meV/atom
energy above the lowest structure with this stoichiometry = 4.68 eV per formula unit
symmetry = I-42d, No. 122

Entry 7:
VASP calculation (PBE-GGA) on a relaxed structure of KY2Zr.

a = 6.148 Å, b = 6.148 Å, c = 3.455 Å
α = 89.96°, β = 89.96°, γ = 103.76°
Fractional positions:
Y1 0.500 0.500 0.000
Y2 0.000 0.000 0.000
K1 0.000 0.500 0.500
Zr1 0.500 0.000 0.500

Computed properties:
E_form = 618 meV/atom
energy above the lowest structure with this stoichiometry = 1.53 eV per formula unit
symmetry = Cmmm, No. 65

Entry 8:
VASP calculation (PBE-GGA) on a relaxed structure of KYZr2.

a = 5.352 Å, b = 5.352 Å, c = 8.175 Å
α = 87.04°, β = 87.04°, γ = 34.95°
Fractional positions:
K1 0.497 0.497 0.518
Zr1 0.004 0.004 0.963
Y1 0.261 0.261 0.176
Zr2 0.738 0.738 0.843

Computed properties:
E_form = 526 meV/atom
energy above the lowest structure with this stoichiometry = 0.79 eV per formula unit
symmetry = Cm, No. 8

Entry 9:
VASP calculation (PBE-GGA) on a relaxed structure of KYZr2.

a = 12.450 Å, b = 12.450 Å, c = 12.450 Å
α = 15.59°, β = 15.59°, γ = 15.59°
Each line ends with the local moment (μB).
Fractional positions:
Zr1 0.996 0.996 0.996  0.01
Y1 0.736 0.736 0.736  0.05
Zr2 0.264 0.264 0.264  0.24
K1 0.504 0.504 0.504  0.01

Computed properties:
E_form = 366 meV/atom
energy above the lowest structure with this stoichiometry = 0.15 eV per formula unit
symmetry = R3m, No. 160

Entry 10:
VASP calculation (PBE-GGA) on a relaxed structure of KYZr2.

a = 5.489 Å, b = 5.489 Å, c = 5.489 Å
α = 60.00°, β = 60.00°, γ = 60.00°
Each line ends with the local moment (μB).
Fractional positions:
Y1 0.500 0.500 0.500  0.32
Zr1 0.750 0.750 0.750  0.47
Zr2 0.250 0.250 0.250  0.47
K1 0.000 0.000 0.000  0.02

Computed properties:
E_form = 1015 meV/atom
energy above the lowest structure with this stoichiometry = 2.74 eV per formula unit
symmetry = Fm-3m, No. 225

Entry 11:
VASP calculation (PBE-GGA) on a relaxed structure of KYZr3.

a = 5.482 Å, b = 5.482 Å, c = 5.482 Å
α = 90.00°, β = 90.00°, γ = 90.00°
Each line ends with the local moment (μB).
Fractional positions:
Zr1 0.500 0.000 0.000  0.11
K1 0.500 0.500 0.500  0.00
Zr2 0.000 0.500 0.000  0.10
Y1 0.000 0.000 0.000  0.05
Zr3 0.000 0.000 0.500  0.06

Computed properties:
E_form = 1415 meV/atom
energy above the lowest structure with this stoichiometry = 0.00 eV per formula unit
symmetry = Pm-3m, No. 221

Entry 12:
VASP calculation (PBE-GGA) on a relaxed structure of KYb3.

a = 6.816 Å, b = 6.816 Å, c = 6.816 Å
α = 131.71°, β = 131.71°, γ = 70.69°
Each line ends with the local moment (μB).
Fractional positions:
Yb1 0.750 0.250 0.500  0.23
Yb2 0.250 0.750 0.500  0.23
Yb3 0.500 0.500 0.000  0.22
K1 0.000 0.000 0.000  0.00

Computed properties:
E_form = 137 meV/atom
symmetry = I4/mmm, No. 139

Number 1: DOS(E_F) 1.60 states/eV per atom. Number 2: DOS(E_F) 1.53 states/eV per atom. Number 3: DOS(E_F) 1.82 states/eV per atom. Number 4: DOS(E_F) 1.54 states/eV per atom. Number 5: DOS(E_F) 1.37 states/eV per atom. Number 6: DOS(E_F) 1.75 states/eV per atom. Number 7: DOS(E_F) 1.74 states/eV per atom. Number 8: DOS(E_F) 1.21 states/eV per atom. Number 9: DOS(E_F) 1.47 states/eV per atom. Number 10: DOS(E_F) 1.37 states/eV per atom. Number 11: DOS(E_F) 2.26 states/eV per atom. Number 12: DOS(E_F) 12.36 states/eV per atom.